# 1
# Y2ErS3

An optimized crystal structure of Y2ErS3 (GGA-PBE, the Open Quantum Materials Database).

Lattice parameters (Å, degrees): 3.8929 3.8929 9.5481 90.00 90.00 120.00
With the nearest neighbours (Å) after each atom.
Fractional coordinates of all 6 atoms:
Y (0.3333, 0.6667, 0.1674)  6 S 2.76-2.77
Y (0.6667, 0.3333, 0.8326)  6 S 2.76-2.77
Er (0.0000, 0.0000, 0.5000)  6 S 2.73
S (0.0000, 0.0000, 0.0000)  6 Y 2.76
S (0.3333, 0.6667, 0.6626)  3 Er 2.73, 3 Y 2.77
S (0.6667, 0.3333, 0.3374)  3 Er 2.73, 3 Y 2.77

DFT total energy = -6.96 eV/atom

***

# 2
# In2Tc4Te

An optimized crystal structure of In2Tc4Te (GGA-PBE, the Open Quantum Materials Database).

Lattice parameters (Å, degrees): 6.3514 6.3514 6.3514 100.26 100.26 130.06
With the nearest neighbours (Å) after each atom.
Fractional coordinates of all 7 atoms:
In (0.2500, 0.7500, 0.5000)  2 In 2.68, 4 Tc 2.79
In (0.7500, 0.2500, 0.5000)  2 In 2.68, 4 Tc 2.79
Tc (0.0000, 0.1999, 0.1999)  2 Tc 2.30
Tc (0.0000, 0.8001, 0.8001)  2 Tc 2.30
Tc (0.1999, 0.0000, 0.1999)  2 Tc 2.30
Tc (0.8001, 0.0000, 0.8001)  2 Tc 2.30
Te (0.5000, 0.5000, 0.0000)  8 Tc 3.14

DFT total energy = -6.03 eV/atom

***

# 3
# CsPtO3

An optimized crystal structure of CsPtO3 (GGA-PBE, the Open Quantum Materials Database).

Lattice parameters (Å, degrees): 5.9525 10.7215 7.0028 90.00 90.00 90.00
With the nearest neighbours (Å) after each atom.
Fractional coordinates of all 20 atoms:
Cs (0.0000, 0.0000, 0.0000)  6 O 2.92-3.18
Cs (0.0000, 0.5000, 0.0000)  6 O 2.92-3.18
Cs (0.5000, 0.0000, 0.5000)  6 O 2.92-3.18
Cs (0.5000, 0.5000, 0.5000)  6 O 2.92-3.18
Pt (0.0396, 0.2500, 0.4816)  3 O 1.79-1.80
Pt (0.4604, 0.7500, 0.9816)  3 O 1.79-1.80
Pt (0.5396, 0.2500, 0.0184)  3 O 1.79-1.80
Pt (0.9604, 0.7500, 0.5184)  3 O 1.79-1.80
O (0.0225, 0.1078, 0.6179)  1 Pt 1.80
O (0.0225, 0.3922, 0.6179)  1 Pt 1.80
O (0.0742, 0.2500, 0.2274)  1 Pt 1.79
O (0.4258, 0.7500, 0.7274)  1 Pt 1.79
O (0.4775, 0.6078, 0.1179)  1 Pt 1.80
O (0.4775, 0.8922, 0.1179)  1 Pt 1.80
O (0.5225, 0.1078, 0.8821)  1 Pt 1.80
O (0.5225, 0.3922, 0.8821)  1 Pt 1.80
O (0.5742, 0.2500, 0.2726)  1 Pt 1.79
O (0.9258, 0.7500, 0.7726)  1 Pt 1.79
O (0.9775, 0.6078, 0.3821)  1 Pt 1.80
O (0.9775, 0.8922, 0.3821)  1 Pt 1.80

DFT total energy = -4.92 eV/atom

***

> What is the DFT total energy in the second record?

-6.03 eV/atom